No. 1
First-principles (PBE-GGA) data for crystalline AcIn4Pd8 at its relaxed geometry, as listed in Alexandria.

Energy of formation: -6.5 eV/f.u.
Density: 10.2 g cm⁻³
Energy: -4.86 eV/atom
Fermi-level density of states: 5.8 states/eV/f.u.

Geometry as POSCAR:
```
AcIn4Pd8
1.0
-4.600 4.600 2.948
4.600 -4.600 2.948
4.600 4.600 -2.948
Ac In Pd
1 4 8
Direct
0.000 0.000 0.000 Ac
0.000 0.000 0.500 In
0.000 0.500 0.000 In
0.500 0.000 0.000 In
0.500 0.500 0.500 In
0.000 0.344 0.344 Pd
0.000 0.656 0.656 Pd
0.277 0.500 0.777 Pd
0.344 0.000 0.344 Pd
0.500 0.277 0.777 Pd
0.500 0.723 0.223 Pd
0.656 0.000 0.656 Pd
0.723 0.500 0.223 Pd
```

***

No. 2
First-principles (PBE-GGA) data for crystalline DyTmTl at its relaxed geometry, as listed in Alexandria.

Energy of formation: 0.7 eV/f.u.
Density: 8.1 g cm⁻³
Energy: -3.57 eV/atom
Fermi-level density of states: 3.5 states/eV/f.u.
Energy relative to the lowest polymorph listed for this composition: 0.495 eV per atom

Geometry as POSCAR:
```
DyTmTl
1.0
4.674 -4.780 0.000
4.674 4.780 0.000
0.000 0.000 4.896
Dy Tm Tl
2 2 2
Direct
0.188 0.812 0.000 Dy
0.812 0.188 0.000 Dy
0.313 0.313 0.500 Tm
0.687 0.687 0.500 Tm
0.000 0.000 0.500 Tl
0.500 0.500 0.000 Tl
```

***

No. 3
First-principles (PBE-GGA) data for crystalline KNa6Li6 at its relaxed geometry, as listed in Alexandria.

Energy of formation: 0.7 eV/f.u.
Density: 0.9 g cm⁻³
Energy: -1.52 eV/atom
Fermi-level density of states: 6.1 states/eV/f.u.

Geometry as POSCAR:
```
KNa6Li6
1.0
-3.156 5.634 5.752
3.156 -5.634 5.752
3.156 5.634 -5.752
K Na Li
1 6 6
Direct
0.000 0.000 0.000 K
0.196 0.500 0.696 Na
0.347 0.347 0.000 Na
0.351 0.000 0.351 Na
0.649 0.000 0.649 Na
0.653 0.653 0.000 Na
0.804 0.500 0.304 Na
0.000 0.000 0.500 Li
0.000 0.500 0.000 Li
0.233 0.733 0.500 Li
0.500 0.000 0.000 Li
0.500 0.500 0.500 Li
0.767 0.267 0.500 Li
```

***

No. 4
First-principles (PBE-GGA) data for crystalline LaZr3Rh at its relaxed geometry, as listed in Alexandria.

Energy of formation: 7.3 eV/f.u.
Density: 6.6 g cm⁻³
Energy: -6.12 eV/atom
Fermi-level density of states: 8.1 states/eV/f.u.
Energy relative to the lowest polymorph listed for this composition: 1.432 eV per atom

Geometry as POSCAR:
```
LaZr3Rh
1.0
5.057 0.000 0.000
0.000 5.057 0.000
0.000 0.000 5.057
La Zr Rh
1 3 1
Direct
0.000 0.000 0.000 La
0.000 0.000 0.500 Zr
0.000 0.500 0.000 Zr
0.500 0.000 0.000 Zr
0.500 0.500 0.500 Rh
```

***

No. 5
First-principles (PBE-GGA) data for crystalline DyICl at its relaxed geometry, as listed in Alexandria.

Uncorrected formation energy: -4.66 eV/f.u.
Density: 5.1 g cm⁻³
Energy: -4.22 eV/atom
Fermi-level density of states: 2.2 states/eV/f.u.
Energy relative to the lowest polymorph listed for this composition: 0.000 eV per atom

Geometry as POSCAR:
```
DyICl
1.0
3.955 0.000 0.000
0.000 6.750 0.000
0.021 3.167 7.904
Dy I Cl
2 2 2
Direct
0.250 0.239 0.001 Dy
0.750 0.761 0.999 Dy
0.251 0.038 0.733 I
0.749 0.962 0.267 I
0.249 0.492 0.191 Cl
0.751 0.508 0.809 Cl
```

***

| no. | magnetization (μB/f.u.) |
| --- | --- |
| 1 | 0.00 |
| 2 | 0.94 |
| 3 | 0.00 |
| 4 | 0.00 |
| 5 | 0.00 |